# 1
The following is a DFT calculation (PBE-GGA) of a geometry-optimized NdTmAs structure.

The structure in POSCAR format:
```
NdTmAs
1.0
0.000 3.446 3.446
3.446 0.000 3.446
3.446 3.446 0.000
Nd Tm As
1 1 1
Direct
0.000 0.000 0.000 Nd
0.500 0.500 0.500 Tm
0.250 0.250 0.250 As
```

Values from the calculation:
V (Å³/atom): 27.28
VASP energy (Ry/atom): -0.3941

# 2
The following is a DFT calculation (PBE-GGA) of a geometry-optimized NdTm2As2 structure.

The structure in POSCAR format:
```
NdTm2As2
1.0
4.097 0.000 0.000
-2.049 3.548 0.000
0.000 0.000 9.527
Nd Tm As
1 2 2
Direct
0.000 0.000 0.000 Nd
0.333 0.667 0.349 Tm
0.667 0.333 0.651 Tm
0.333 0.667 0.807 As
0.667 0.333 0.193 As
```

Values from the calculation:
V (Å³/atom): 27.70
VASP energy (Ry/atom): -0.4208

# 3
The following is a DFT calculation (PBE-GGA) of a geometry-optimized NdU2As3 structure.

The structure in POSCAR format:
```
NdU2As3
1.0
4.104 0.000 0.000
-2.052 3.554 0.000
0.000 0.000 10.381
Nd U As
1 2 3
Direct
0.000 0.000 0.000 Nd
0.333 0.667 0.336 U
0.667 0.333 0.664 U
0.000 0.000 0.500 As
0.333 0.667 0.823 As
0.667 0.333 0.177 As
```

Values from the calculation:
V (Å³/atom): 25.24
VASP energy (Ry/atom): -0.5781

# 4
The following is a DFT calculation (PBE-GGA) of a geometry-optimized Nd2UAs3 structure.

The structure in POSCAR format:
```
Nd2UAs3
1.0
4.184 0.000 0.000
-2.092 3.623 0.000
0.000 0.000 10.446
Nd U As
2 1 3
Direct
0.333 0.667 0.334 Nd
0.667 0.333 0.666 Nd
0.000 0.000 0.000 U
0.000 0.000 0.500 As
0.333 0.667 0.843 As
0.667 0.333 0.157 As
```

Values from the calculation:
V (Å³/atom): 26.39
VASP energy (Ry/atom): -0.5179

# 5
The following is a DFT calculation (PBE-GGA) of a geometry-optimized NdUAs structure.

The structure in POSCAR format:
```
NdUAs
1.0
0.000 3.483 3.483
3.483 0.000 3.483
3.483 3.483 0.000
Nd U As
1 1 1
Direct
0.000 0.000 0.000 Nd
0.500 0.500 0.500 U
0.250 0.250 0.250 As
```

Values from the calculation:
V (Å³/atom): 28.16
VASP energy (Ry/atom): -0.5176

# 6
The following is a DFT calculation (PBE-GGA) of a geometry-optimized NdY2As3 structure.

The structure in POSCAR format:
```
NdY2As3
1.0
4.172 0.000 0.000
-2.086 3.613 0.000
0.000 0.000 10.207
Nd Y As
1 2 3
Direct
0.000 0.000 0.000 Nd
0.333 0.667 0.337 Y
0.667 0.333 0.663 Y
0.000 0.000 0.500 As
0.333 0.667 0.826 As
0.667 0.333 0.174 As
```

Values from the calculation:
V (Å³/atom): 25.64
VASP energy (Ry/atom): -0.5006

# 7
The following is a DFT calculation (PBE-GGA) of a geometry-optimized Nd2YAs3 structure.

The structure in POSCAR format:
```
Nd2YAs3
1.0
4.222 0.000 0.000
-2.111 3.657 0.000
0.000 0.000 10.327
Nd Y As
2 1 3
Direct
0.333 0.667 0.330 Nd
0.667 0.333 0.670 Nd
0.000 0.000 0.000 Y
0.000 0.000 0.500 As
0.333 0.667 0.841 As
0.667 0.333 0.159 As
```

Values from the calculation:
V (Å³/atom): 26.57
VASP energy (Ry/atom): -0.4788

# 8
The following is a DFT calculation (PBE-GGA) of a geometry-optimized NdZrAs structure.

The structure in POSCAR format:
```
NdZrAs
1.0
0.000 3.372 3.372
3.372 0.000 3.372
3.372 3.372 0.000
Nd Zr As
1 1 1
Direct
0.000 0.000 0.000 Nd
0.500 0.500 0.500 Zr
0.250 0.250 0.250 As
```

Values from the calculation:
V (Å³/atom): 25.57
VASP energy (Ry/atom): -0.4815

Which value of V does entry 8 give?
25.57 Å³/atom